Na2MgCd: relaxed, PBE.

Cell lengths 5.181, 4.549, 4.549 Å; angles 90.00, 90.00, 90.00 degrees
Atoms (fractional coordinates):
Na1 0.000 0.000 0.500
Na2 0.000 0.500 0.000
Mg1 0.500 0.000 0.000
Cd1 0.500 0.500 0.500

Computed properties:
Density of states at the Fermi level, states/eV per atom: 0.451
DFT total energy, eV/atom: -1.277
Energy of formation, eV per atom: 0.01
SG: No. 123

NaMg6Cd8: relaxed, PBE.

Cell lengths 7.585, 7.585, 7.585 Å; angles 67.05, 67.05, 67.05 degrees
Atoms (fractional coordinates):
Na1 0.000 0.000 0.000
Mg1 0.148 0.363 0.609
Mg2 0.391 0.852 0.637
Mg3 0.637 0.391 0.852
Mg4 0.363 0.609 0.148
Mg5 0.609 0.148 0.363
Mg6 0.852 0.637 0.391
Cd1 0.184 0.559 0.868
Cd2 0.132 0.816 0.441
Cd3 0.441 0.132 0.816
Cd4 0.762 0.762 0.762
Cd5 0.238 0.238 0.238
Cd6 0.559 0.868 0.184
Cd7 0.868 0.184 0.559
Cd8 0.816 0.441 0.132

Computed properties:
Density of states at the Fermi level, states/eV per atom: 0.394
DFT total energy, eV/atom: -1.231
Energy of formation, eV per atom: -0.02
SG: No. 148

Number 1 is which compound? Na2MgCd

Among the records above, which one has the highest density of states at the Fermi level? Na2MgCd

The lowest DFT total energy belongs to which entry? Na2MgCd